one | This record from Alexandria describes CaCrRu2 after structural relaxation. The functional is PBE.

The structure in POSCAR format:
```
CaCrRu2
1.0
4.5307 0.0000 0.0000
0.0000 4.5307 0.0000
0.0000 0.0000 3.0795
Ca Cr Ru
1 1 2
Direct
0.0000 0.0000 0.0000
0.5000 0.5000 0.0000
0.0000 0.5000 0.5000
0.5000 0.0000 0.5000
```

Computed properties:
- N(E_F) (states/eV/cell) = 5.09
- total magnetic moment (μB per formula unit) = 1.06

---

two | This record from Alexandria describes CaCrRu2 after structural relaxation. The functional is PBE.

The structure in POSCAR format:
```
CaCrRu2
1.0
1.4198 0.8197 8.9805
-1.4198 0.8197 8.9805
0.0000 -1.6394 8.9805
Ca Cr Ru
1 1 2
Direct
0.0000 0.0000 0.0000
0.5000 0.5000 0.5000
0.2389 0.2389 0.2389
0.7611 0.7611 0.7611
```

Computed properties:
- N(E_F) (states/eV/cell) = 3.46
- total magnetic moment (μB per formula unit) = 0.00

---

three | This record from Alexandria describes CaCrRu2 after structural relaxation. The functional is PBE.

The structure in POSCAR format:
```
CaCrRu2
1.0
1.4026 0.8098 9.2837
-1.4026 0.8098 9.2837
0.0000 -1.6196 9.2837
Ca Cr Ru
1 1 2
Direct
0.0000 0.0000 0.0000
0.7603 0.7603 0.7603
0.2420 0.2420 0.2420
0.4969 0.4969 0.4969
```

Computed properties:
- N(E_F) (states/eV/cell) = 4.73
- total magnetic moment (μB per formula unit) = 0.21

---

four | This record from Alexandria describes CaCrRu2 after structural relaxation. The functional is PBE.

The structure in POSCAR format:
```
CaCrRu2
1.0
0.0000 3.1308 3.1308
3.1308 0.0000 3.1308
3.1308 3.1308 0.0000
Ca Cr Ru
1 1 2
Direct
0.0000 0.0000 0.0000
0.5000 0.5000 0.5000
0.2500 0.2500 0.2500
0.7500 0.7500 0.7500
```

Computed properties:
- N(E_F) (states/eV/cell) = 2.28
- total magnetic moment (μB per formula unit) = 0.00

---

The most stable of them is four.

---

one | This record from Alexandria describes CaCrRu2 after structural relaxation. The functional is PBE.

The structure in POSCAR format:
```
CaCrRu2
1.0
3.0449 0.0000 0.0000
0.0000 3.0449 0.0000
0.0000 0.0000 7.0658
Ca Cr Ru
1 1 2
Direct
0.0000 0.0000 0.0000
0.0000 0.0000 0.5000
0.5000 0.5000 0.3067
0.5000 0.5000 0.6933
```

Computed properties:
- N(E_F) (states/eV/cell) = 5.34
- total magnetic moment (μB per formula unit) = 0.73

---

two | This record from Alexandria describes CaCrRu2 after structural relaxation. The functional is PBE.

The structure in POSCAR format:
```
CaCrRu2
1.0
3.1673 0.0000 0.0000
0.0000 3.1673 0.0000
0.0000 0.0000 6.9816
Ca Cr Ru
1 1 2
Direct
0.0000 0.0000 0.0000
0.5000 0.5000 0.3447
0.0000 0.0000 0.4817
0.5000 0.5000 0.6997
```

Computed properties:
- N(E_F) (states/eV/cell) = 5.43
- total magnetic moment (μB per formula unit) = 0.01

---

The most stable of them is one.

---

one | This record from Alexandria describes CaCrRu2 after structural relaxation. The functional is PBE.

The structure in POSCAR format:
```
CaCrRu2
1.0
2.8306 -4.3854 0.0000
2.8306 4.3854 0.0000
-1.0621 0.0000 2.6109
Ca Cr Ru
1 1 2
Direct
0.0000 0.0000 0.0000
0.5000 0.5000 0.0000
0.0000 0.5000 0.5000
0.5000 0.0000 0.5000
```

Computed properties:
- N(E_F) (states/eV/cell) = 5.01
- total magnetic moment (μB per formula unit) = 2.42

---

two | This record from Alexandria describes CaCrRu2 after structural relaxation. The functional is PBE.

The structure in POSCAR format:
```
CaCrRu2
1.0
0.0000 3.2141 3.2141
3.2141 0.0000 3.2141
3.2141 3.2141 0.0000
Ca Cr Ru
1 1 2
Direct
0.0000 0.0000 0.0000
0.7500 0.7500 0.7500
0.2500 0.2500 0.2500
0.5000 0.5000 0.5000
```

Computed properties:
- N(E_F) (states/eV/cell) = 6.95
- total magnetic moment (μB per formula unit) = 1.76

---

The most stable of them is one.

---

one | This record from Alexandria describes CaCrRu2 after structural relaxation. The functional is PBE.

The structure in POSCAR format:
```
CaCrRu2
1.0
4.2954 0.0000 0.0000
0.0000 1.4769 5.5306
0.0000 -1.4769 5.5306
Ca Cr Ru
1 1 2
Direct
0.0000 0.0000 0.0000
0.5000 0.6609 0.6609
0.0000 0.7451 0.7451
0.5000 0.3340 0.3340
```

Computed properties:
- N(E_F) (states/eV/cell) = 4.53
- total magnetic moment (μB per formula unit) = 0.73

---

two | This record from Alexandria describes CaCrRu2 after structural relaxation. The functional is PBE.

The structure in POSCAR format:
```
CaCrRu2
1.0
-1.4814 2.3266 4.8459
1.4814 -2.3266 4.8459
1.4814 2.3266 -4.8459
Ca Cr Ru
1 1 2
Direct
0.0000 0.0000 0.0000
0.2806 0.7806 0.5000
0.5036 0.5036 0.0000
0.7260 0.2260 0.5000
```

Computed properties:
- N(E_F) (states/eV/cell) = 3.55
- total magnetic moment (μB per formula unit) = 2.43

---

The most stable of them is two.